This record from Alexandria via LeMat-Bulk describes a geometry-optimized CsAl2H8 structure. The functional is GGA-PBE.

Computed properties:
Distance to the lowest polymorph of the same formula, meV per atom: 0
Total moment, μB per formula unit: 0.00
DOS(E_F), states/eV/f.u.: 1.07

a = 11.3960 Å, b = 4.1957 Å, c = 6.3489 Å
α = 90.00°, β = 94.52°, γ = 90.00°
With the nearest neighbours (Å) after each atom.
Space group C2/m (No. 12)
Unique sites:
Cs: 0.0000 0.0000 0.0000 (multiplicity 2)  8 H 2.96-3.02
Al: 0.2325 0.5000 0.3058 (multiplicity 4)  4 H 1.62-1.70
H: 0.0903 0.5000 0.2990 (multiplicity 4)  1 Al 1.62
H: 0.1897 0.0000 0.4653 (multiplicity 4)  1 Al 1.64
H: 0.2232 0.2913 0.8573 (multiplicity 8)  1 Al 1.70, 2 H 1.75-1.90